(1)
# GdSnPt (PBE-GGA, optimized geometry)
data_GdSnPt
_chemical_formula_sum 'Gd3 Sn3 Pt3'
_cell_length_a 7.5150
_cell_length_b 7.5150
_cell_length_c 4.0674
_cell_angle_alpha 90.00
_cell_angle_beta 90.00
_cell_angle_gamma 120.00
_symmetry_space_group_name_H-M 'P -6 2 m'
_symmetry_Int_Tables_number 189
_symmetry_space_group_name_Hall 'P -6 -2'
loop_
_atom_site_label
_atom_site_type_symbol
_atom_site_fract_x
_atom_site_fract_y
_atom_site_fract_z
Gd1 Gd 0.0000 0.5921 0.0000
Sn1 Sn 0.0000 0.2567 0.5000
Pt1 Pt 0.0000 0.0000 0.0000
Pt2 Pt 0.3333 0.6667 0.5000
# * calculated volume: 198.9 Å³/cell
# * theoretical density: 11.796 g cm⁻³
# * uncorrected energy: -53.973 eV for the cell shown
# * M_tot: 0.01 μB/f.u.

***

(2)
# GdSnPt (PBE-GGA, optimized geometry)
data_GdSnPt
_chemical_formula_sum 'Gd2 Sn2 Pt2'
_cell_length_a 4.6522
_cell_length_b 4.6522
_cell_length_c 7.2320
_cell_angle_alpha 90.00
_cell_angle_beta 90.00
_cell_angle_gamma 120.00
_symmetry_space_group_name_H-M 'P 63 m c'
_symmetry_Int_Tables_number 186
_symmetry_space_group_name_Hall 'P 6c -2c'
loop_
_atom_site_label
_atom_site_type_symbol
_atom_site_fract_x
_atom_site_fract_y
_atom_site_fract_z
Gd1 Gd 0.0000 0.0000 0.0000
Sn1 Sn 0.3333 0.6667 0.2278
Pt1 Pt 0.3333 0.6667 0.8050
# * calculated volume: 135.6 Å³/cell
# * theoretical density: 11.541 g cm⁻³
# * uncorrected energy: -35.501 eV for the cell shown
# * M_tot: 0.01 μB/f.u.

***

Question: What is the calculated volume in the second record?
Answer: 135.6 Å³/cell

***

Repeat the second record exactly.
# GdSnPt (PBE-GGA, optimized geometry)
data_GdSnPt
_chemical_formula_sum 'Gd2 Sn2 Pt2'
_cell_length_a 4.6522
_cell_length_b 4.6522
_cell_length_c 7.2320
_cell_angle_alpha 90.00
_cell_angle_beta 90.00
_cell_angle_gamma 120.00
_symmetry_space_group_name_H-M 'P 63 m c'
_symmetry_Int_Tables_number 186
_symmetry_space_group_name_Hall 'P 6c -2c'
loop_
_atom_site_label
_atom_site_type_symbol
_atom_site_fract_x
_atom_site_fract_y
_atom_site_fract_z
Gd1 Gd 0.0000 0.0000 0.0000
Sn1 Sn 0.3333 0.6667 0.2278
Pt1 Pt 0.3333 0.6667 0.8050
# * calculated volume: 135.6 Å³/cell
# * theoretical density: 11.541 g cm⁻³
# * uncorrected energy: -35.501 eV for the cell shown
# * M_tot: 0.01 μB/f.u.

***

Question: Look up the theoretical density of the first one.
Answer: 11.796 g cm⁻³

***

What did the second record say?
# GdSnPt (PBE-GGA, optimized geometry)
data_GdSnPt
_chemical_formula_sum 'Gd2 Sn2 Pt2'
_cell_length_a 4.6522
_cell_length_b 4.6522
_cell_length_c 7.2320
_cell_angle_alpha 90.00
_cell_angle_beta 90.00
_cell_angle_gamma 120.00
_symmetry_space_group_name_H-M 'P 63 m c'
_symmetry_Int_Tables_number 186
_symmetry_space_group_name_Hall 'P 6c -2c'
loop_
_atom_site_label
_atom_site_type_symbol
_atom_site_fract_x
_atom_site_fract_y
_atom_site_fract_z
Gd1 Gd 0.0000 0.0000 0.0000
Sn1 Sn 0.3333 0.6667 0.2278
Pt1 Pt 0.3333 0.6667 0.8050
# * calculated volume: 135.6 Å³/cell
# * theoretical density: 11.541 g cm⁻³
# * uncorrected energy: -35.501 eV for the cell shown
# * M_tot: 0.01 μB/f.u.